Version i
## MnBSeN2 (PBE)

Data for a relaxed structure of MnBSeN2.

a = 3.2706 Å, b = 3.2706 Å, c = 6.6746 Å
α = 90.00°, β = 90.00°, γ = 90.00°
Site moments in Bohr magnetons follow the coordinates.
Fractional positions:
N1 0.5000 0.0000 0.0000  0.05
N2 0.0000 0.5000 0.0000  0.05
Se1 0.0000 0.0000 0.5000  0.12
B1 0.0000 0.0000 0.0000  0.00
Mn1 0.5000 0.5000 0.5000  3.81

Theoretical density: 4017 kg/m3
M_tot: 4.40 μB per formula unit
D(E_F): 1.4 states/eV/cell

---

Version ii
## MnBSeN2 (PBE)

Data for a relaxed structure of MnBSeN2.

a = 3.4988 Å, b = 3.4988 Å, c = 5.3159 Å
α = 90.00°, β = 90.00°, γ = 90.00°
Fractional positions:
Se1 0.0000 0.0000 0.5000
Mn1 0.0000 0.0000 0.0000
N1 0.5000 0.0000 0.0000
N2 0.0000 0.5000 0.0000
B1 0.5000 0.5000 0.5000

Theoretical density: 4407 kg/m3
M_tot: 0.00 μB per formula unit
D(E_F): 3.2 states/eV/cell

---

Each structure's energy above the most stable one, in kJ/mol of atoms: version i 0.0; version ii 10.8.

---

Version i
## MnBTeN2 (PBE)

Data for a relaxed structure of MnBTeN2.

a = 3.4137 Å, b = 3.4137 Å, c = 6.6297 Å
α = 90.00°, β = 90.00°, γ = 90.00°
Site moments in Bohr magnetons follow the coordinates.
Fractional positions:
Mn1 0.5000 0.5000 0.5000  3.51
Te1 0.0000 0.0000 0.5000  0.05
B1 0.0000 0.0000 0.0000  0.00
N1 0.0000 0.5000 0.0000  0.07
N2 0.5000 0.0000 0.0000  0.07

Theoretical density: 4758 kg/m3
M_tot: 4.10 μB per formula unit
D(E_F): 3.5 states/eV/cell

---

Version ii
## MnBTeN2 (PBE)

Data for a relaxed structure of MnBTeN2.

a = 3.5485 Å, b = 3.5485 Å, c = 5.5523 Å
α = 90.00°, β = 90.00°, γ = 90.00°
Fractional positions:
N1 0.0000 0.5000 0.0000
N2 0.5000 0.0000 0.0000
B1 0.5000 0.5000 0.5000
Mn1 0.0000 0.0000 0.0000
Te1 0.0000 0.0000 0.5000

Theoretical density: 5258 kg/m3
M_tot: 0.00 μB per formula unit
D(E_F): 3.1 states/eV/cell

---

Each structure's energy above the most stable one, in kJ/mol of atoms: version i 36.6; version ii 0.0.

---

Version i
## MnBTe2N (PBE)

Data for a relaxed structure of MnBTe2N.

a = 5.1575 Å, b = 5.1575 Å, c = 3.4136 Å
α = 90.00°, β = 90.00°, γ = 90.00°
Fractional positions:
Te1 0.0000 0.5000 0.0000
Te2 0.5000 0.0000 0.0000
N1 0.0000 0.0000 0.5000
B1 0.5000 0.5000 0.5000
Mn1 0.0000 0.0000 0.0000

Theoretical density: 6126 kg/m3
M_tot: 0.00 μB per formula unit
D(E_F): 3.2 states/eV/cell

---

Version ii
## MnBTe2N (PBE)

Data for a relaxed structure of MnBTe2N.

a = 5.4686 Å, b = 5.4686 Å, c = 2.8187 Å
α = 90.00°, β = 90.00°, γ = 90.00°
Site moments in Bohr magnetons follow the coordinates.
Fractional positions:
Te1 0.0000 0.5000 0.0000  -0.02
Te2 0.5000 0.0000 0.0000  -0.02
Mn1 0.5000 0.5000 0.5000  3.84
B1 0.0000 0.0000 0.0000  0.00
N1 0.0000 0.0000 0.5000  -0.01

Theoretical density: 6598 kg/m3
M_tot: 4.07 μB per formula unit
D(E_F): 3.6 states/eV/cell

---

Each structure's energy above the most stable one, in kJ/mol of atoms: version i 49.1; version ii 0.0.